Record 1
{
  "formula": "ZnHgAu",
  "functional": "meta-GGA SCAN",
  "state": "PBEsol geometry",
  "magnetic_moment_mub_per_cell": 0.00,
  "de_polymorph_ev_per_fu": 0.54,
  "spacegroup": "F-43m, No. 216",
  "energy_ev_per_cell": -601.33,
  "e_form_kj_per_mol_fu": 49,
  "n_ef_per_ev_cell": 3.8,
  "lattice_angstrom": [[6.287, 0.000, 0.000], [0.000, 6.287, 0.000], [0.000, 0.000, 6.287]],
  "species": ["Zn", "Zn", "Zn", "Zn", "Hg", "Hg", "Hg", "Hg", "Au", "Au", "Au", "Au"],
  "frac_coords": [[0.000, 0.000, 0.000], [0.000, 0.500, 0.500], [0.500, 0.000, 0.500], [0.500, 0.500, 0.000], [0.250, 0.250, 0.750], [0.250, 0.750, 0.250], [0.750, 0.250, 0.250], [0.750, 0.750, 0.750], [0.000, 0.000, 0.500], [0.000, 0.500, 0.000], [0.500, 0.000, 0.000], [0.500, 0.500, 0.500]]
}

Record 2
{
  "formula": "Ta4Au",
  "functional": "meta-GGA SCAN",
  "state": "PBEsol geometry",
  "magnetic_moment_mub_per_cell": 0.00,
  "de_polymorph_ev_per_fu": 0.00,
  "spacegroup": "I4/m, No. 87",
  "energy_ev_per_cell": -671.83,
  "e_form_kj_per_mol_fu": -41,
  "n_ef_per_ev_cell": 8.1,
  "lattice_angstrom": [[7.090, 0.000, 0.000], [0.000, 7.090, 0.000], [0.000, 0.000, 3.477]],
  "species": ["Ta", "Ta", "Ta", "Ta", "Ta", "Ta", "Ta", "Ta", "Au", "Au"],
  "frac_coords": [[0.102, 0.694, 0.000], [0.194, 0.398, 0.500], [0.306, 0.102, 0.000], [0.398, 0.806, 0.500], [0.602, 0.194, 0.500], [0.694, 0.898, 0.000], [0.806, 0.602, 0.500], [0.898, 0.306, 0.000], [0.000, 0.000, 0.500], [0.500, 0.500, 0.000]]
}

Record 3
{
  "formula": "AlCdPt2",
  "functional": "meta-GGA SCAN",
  "state": "PBEsol geometry",
  "magnetic_moment_mub_per_cell": 0.00,
  "spacegroup": "I-42d, No. 122",
  "energy_ev_per_cell": -721.53,
  "e_form_kj_per_mol_fu": -177,
  "n_ef_per_ev_cell": 5.3,
  "lattice_angstrom": [[7.016, 0.000, 0.000], [0.000, 7.016, 0.000], [0.000, 0.000, 5.515]],
  "species": ["Al", "Al", "Al", "Al", "Cd", "Cd", "Cd", "Cd", "Pt", "Pt", "Pt", "Pt", "Pt", "Pt", "Pt", "Pt"],
  "frac_coords": [[0.000, 0.000, 0.000], [0.000, 0.500, 0.250], [0.500, 0.000, 0.750], [0.500, 0.500, 0.500], [0.000, 0.000, 0.500], [0.000, 0.500, 0.750], [0.500, 0.000, 0.250], [0.500, 0.500, 0.000], [0.214, 0.750, 0.125], [0.250, 0.214, 0.875], [0.250, 0.286, 0.375], [0.286, 0.750, 0.625], [0.714, 0.250, 0.625], [0.750, 0.714, 0.375], [0.750, 0.786, 0.875], [0.786, 0.250, 0.125]]
}

Record 4
{
  "formula": "RbVH6SeO9",
  "functional": "meta-GGA SCAN",
  "state": "PBEsol geometry",
  "magnetic_moment_mub_per_cell": 0.13,
  "spacegroup": "P2_1, No. 4",
  "energy_ev_per_cell": -320.39,
  "n_ef_per_ev_cell": 0.0,
  "lattice_angstrom": [[6.366, 0.000, 0.000], [0.000, 9.881, 0.000], [-2.084, 0.000, 6.412]],
  "species": ["Rb", "Rb", "V", "V", "H", "H", "H", "H", "H", "H", "H", "H", "H", "H", "H", "H", "Se", "Se", "O", "O", "O", "O", "O", "O", "O", "O", "O", "O", "O", "O", "O", "O", "O", "O", "O", "O"],
  "frac_coords": [[0.173, 0.000, 0.172], [0.827, 0.500, 0.828], [0.128, 0.347, 0.396], [0.872, 0.847, 0.604], [0.025, 0.113, 0.644], [0.198, 0.614, 0.276], [0.279, 0.554, 0.693], [0.325, 0.420, 0.823], [0.392, 0.674, 0.081], [0.467, 0.198, 0.687], [0.533, 0.698, 0.313], [0.608, 0.174, 0.919], [0.675, 0.920, 0.177], [0.721, 0.054, 0.307], [0.802, 0.114, 0.724], [0.975, 0.613, 0.356], [0.417, 0.847, 0.733], [0.583, 0.347, 0.267], [0.053, 0.294, 0.155], [0.072, 0.556, 0.297], [0.162, 0.877, 0.566], [0.189, 0.206, 0.537], [0.221, 0.460, 0.694], [0.378, 0.702, 0.217], [0.435, 0.398, 0.422], [0.448, 0.685, 0.794], [0.469, 0.943, 0.941], [0.531, 0.443, 0.059], [0.552, 0.185, 0.206], [0.565, 0.898, 0.578], [0.622, 0.202, 0.783], [0.779, 0.960, 0.306], [0.811, 0.706, 0.463], [0.838, 0.377, 0.434], [0.928, 0.056, 0.703], [0.947, 0.794, 0.845]]
}

Record 5
{
  "formula": "K2NiAs",
  "functional": "meta-GGA SCAN",
  "state": "PBEsol geometry",
  "magnetic_moment_mub_per_cell": 0.05,
  "spacegroup": "P-6m2, No. 187",
  "energy_ev_per_cell": -54.15,
  "e_form_kj_per_mol_fu": -109,
  "n_ef_per_ev_cell": 1.4,
  "lattice_angstrom": [[5.642, 0.000, 0.000], [-2.821, 4.886, 0.000], [0.000, 0.000, 4.329]],
  "species": ["K", "K", "Ni", "As"],
  "frac_coords": [[0.000, 0.000, 0.000], [0.333, 0.667, 0.500], [0.667, 0.333, 0.500], [0.667, 0.333, 0.000]]
}

Record 6
{
  "formula": "CuSi3Bi",
  "functional": "meta-GGA SCAN",
  "state": "PBEsol geometry",
  "magnetic_moment_mub_per_cell": 0.00,
  "spacegroup": "Pm-3m, No. 221",
  "energy_ev_per_cell": -119.97,
  "e_form_raw_ev_per_atom": 0.77,
  "n_ef_per_ev_cell": 2.5,
  "lattice_angstrom": [[4.589, 0.000, 0.000], [0.000, 4.589, 0.000], [0.000, 0.000, 4.589]],
  "species": ["Cu", "Si", "Si", "Si", "Bi"],
  "frac_coords": [[0.000, 0.000, 0.000], [0.000, 0.000, 0.500], [0.000, 0.500, 0.000], [0.500, 0.000, 0.000], [0.500, 0.500, 0.500]]
}

Record 7
{
  "formula": "IrSe2",
  "functional": "meta-GGA SCAN",
  "state": "PBEsol geometry",
  "magnetic_moment_mub_per_cell": 0.00,
  "spacegroup": "Pnma, No. 62",
  "energy_ev_per_cell": -449.31,
  "e_form_raw_ev_per_atom": -0.36,
  "n_ef_per_ev_cell": 6.0,
  "lattice_angstrom": [[10.489, 0.000, 0.000], [0.000, 3.771, 0.000], [0.000, 0.000, 6.037]],
  "species": ["Ir", "Ir", "Ir", "Ir", "Se", "Se", "Se", "Se", "Se", "Se", "Se", "Se"],
  "frac_coords": [[0.139, 0.250, 0.117], [0.361, 0.750, 0.617], [0.639, 0.250, 0.383], [0.861, 0.750, 0.883], [0.006, 0.250, 0.780], [0.227, 0.250, 0.494], [0.273, 0.750, 0.994], [0.494, 0.750, 0.280], [0.506, 0.250, 0.720], [0.727, 0.250, 0.006], [0.773, 0.750, 0.506], [0.994, 0.750, 0.220]]
}

Record 8
{
  "formula": "BeIrSe4",
  "functional": "meta-GGA SCAN",
  "state": "PBEsol geometry",
  "magnetic_moment_mub_per_cell": 0.00,
  "spacegroup": "F-43m, No. 216",
  "energy_ev_per_cell": -146.65,
  "e_form_raw_ev_per_atom": 1.52,
  "n_ef_per_ev_cell": 4.9,
  "lattice_angstrom": [[0.000, 3.814, 3.814], [3.814, 0.000, 3.814], [3.814, 3.814, 0.000]],
  "species": ["Be", "Ir", "Se", "Se", "Se", "Se"],
  "frac_coords": [[0.000, 0.000, 0.000], [0.750, 0.750, 0.750], [0.376, 0.376, 0.376], [0.376, 0.376, 0.873], [0.376, 0.873, 0.376], [0.873, 0.376, 0.376]]
}

Record 9
{
  "formula": "SnTeSe2Br",
  "functional": "meta-GGA SCAN",
  "state": "PBEsol geometry",
  "magnetic_moment_mub_per_cell": 0.00,
  "de_polymorph_ev_per_fu": 0.00,
  "spacegroup": "P4/mmm, No. 123",
  "energy_ev_per_cell": -131.78,
  "e_form_raw_ev_per_atom": 0.20,
  "n_ef_per_ev_cell": 1.7,
  "lattice_angstrom": [[5.343, 0.000, 0.000], [0.000, 5.343, 0.000], [0.000, 0.000, 5.336]],
  "species": ["Sn", "Te", "Se", "Se", "Br"],
  "frac_coords": [[0.000, 0.000, 0.000], [0.500, 0.500, 0.500], [0.000, 0.500, 0.500], [0.500, 0.000, 0.500], [0.500, 0.500, 0.000]]
}

Record 10
{
  "formula": "HgSbI2O",
  "functional": "meta-GGA SCAN",
  "state": "PBEsol geometry",
  "magnetic_moment_mub_per_cell": 0.73,
  "spacegroup": "P4/mmm, No. 123",
  "energy_ev_per_cell": -184.03,
  "e_form_raw_ev_per_atom": 0.22,
  "n_ef_per_ev_cell": 4.0,
  "lattice_angstrom": [[5.952, 0.000, 0.000], [0.000, 5.952, 0.000], [0.000, 0.000, 4.030]],
  "species": ["Hg", "Sb", "I", "I", "O"],
  "frac_coords": [[0.000, 0.000, 0.000], [0.500, 0.500, 0.000], [0.000, 0.500, 0.500], [0.500, 0.000, 0.500], [0.500, 0.500, 0.500]]
}

Record 11
{
  "formula": "CdAuI2O",
  "functional": "meta-GGA SCAN",
  "state": "PBEsol geometry",
  "magnetic_moment_mub_per_cell": 0.79,
  "spacegroup": "P4/mmm, No. 123",
  "energy_ev_per_cell": -177.68,
  "e_form_raw_ev_per_atom": 0.32,
  "n_ef_per_ev_cell": 6.4,
  "lattice_angstrom": [[5.766, 0.000, 0.000], [0.000, 5.766, 0.000], [0.000, 0.000, 3.975]],
  "species": ["Cd", "Au", "I", "I", "O"],
  "frac_coords": [[0.000, 0.000, 0.000], [0.500, 0.500, 0.500], [0.000, 0.500, 0.000], [0.500, 0.000, 0.000], [0.000, 0.000, 0.500]]
}

Record 12
{
  "formula": "Ca2TlSiW",
  "functional": "meta-GGA SCAN",
  "state": "PBEsol geometry",
  "magnetic_moment_mub_per_cell": 4.56,
  "spacegroup": "P4/mmm, No. 123",
  "energy_ev_per_cell": -165.65,
  "e_form_raw_ev_per_atom": 1.15,
  "n_ef_per_ev_cell": 2.6,
  "lattice_angstrom": [[5.501, 0.000, 0.000], [0.000, 5.501, 0.000], [0.000, 0.000, 5.000]],
  "species": ["Ca", "Ca", "Tl", "Si", "W"],
  "frac_coords": [[0.000, 0.500, 0.000], [0.500, 0.000, 0.000], [0.000, 0.000, 0.500], [0.000, 0.000, 0.000], [0.500, 0.500, 0.500]]
}